Record 1
The following is a DFT calculation (GGA-PBE) of a geometry-optimized NdDyGaCo structure.

energy relative to the elements: -0.331 eV/atom
N(E_F): 8.27 states/eV/cell
offset from the most stable computed form: 0 meV per atom
calculated density: 7.944 g/cm³

Lattice parameters (Å, degrees): 4.1409 4.2287 10.3951 90.00 90.00 90.00
Space group Amm2 (No. 38)
Unique sites:
Nd 0.0000 0.0000 0.0000 (multiplicity 2)
Dy 0.5000 0.0000 0.2863 (multiplicity 2)
Ga 0.5000 0.0000 0.5882 (multiplicity 2)
Co 0.0000 0.0000 0.7195 (multiplicity 2)



Record 2
The following is a DFT calculation (GGA-PBE) of a geometry-optimized NdDyGaCo structure.

energy relative to the elements: -0.252 eV/atom
N(E_F): 11.15 states/eV/cell
offset from the most stable computed form: 79 meV per atom
calculated density: 8.105 g/cm³

Lattice parameters (Å, degrees): 7.0929 7.0929 7.0929 90.00 90.00 90.00
Space group F-43m (No. 216)
Unique sites:
Nd 0.0000 0.0000 0.0000 (multiplicity 4)
Dy 0.0000 0.0000 0.5000 (multiplicity 4)
Ga 0.2500 0.2500 0.7500 (multiplicity 4)
Co 0.2500 0.2500 0.2500 (multiplicity 4)



Record 3
The following is a DFT calculation (GGA-PBE) of a geometry-optimized Dy2GaCo2Ni5 structure.

energy relative to the elements: -0.234 eV/atom
N(E_F): 26.45 states/eV/cell
calculated density: 9.357 g/cm³

Lattice parameters (Å, degrees): 8.7603 8.7603 3.7280 90.00 90.00 90.00
Space group P4/mbm (No. 127)
Unique sites:
Dy 0.1765 0.3235 0.0000 (multiplicity 4)
Ga 0.0000 0.0000 0.0000 (multiplicity 2)
Co 0.1217 0.6217 0.0000 (multiplicity 4)
Ni 0.0000 0.5000 0.5000 (multiplicity 2)
Ni 0.0623 0.7937 0.5000 (multiplicity 8)